## UNiMoO6 (PBE with a Hubbard U)

Data for UNiMoO6 after structural relaxation.

- Total magnetic moment: 4.00 μB/f.u.
- Calculated density: 7.35 g/cm³
- E: -7.759 eV per atom

a = 5.2336 Å, b = 5.2336 Å, c = 9.3040 Å
α = 90.00°, β = 90.00°, γ = 120.00°
Space group P-31c (No. 163)
Symmetry-distinct sites (fractional):
U1 0.3333 0.6667 0.2500
Ni1 0.3333 0.6667 0.7500
Mo1 0.0000 0.0000 0.0000
O1 0.9996 0.3254 0.1286